Entry from the Alexandria database: crystalline KSrCeWO6 at its relaxed geometry (PBE with a Hubbard U).

abc: 6.0108 6.0108 6.0108
angles: 60.00 60.00 60.00
Closest atoms and distances in Å follow each position.
Sites, in units of the cell vectors:
K  0.0000  0.0000  0.0000  12 O 3.01
Sr  0.5000  0.5000  0.5000  12 O 3.01
Ce  0.7500  0.7500  0.7500  6 O 2.28
W  0.2500  0.2500  0.2500  6 O 1.97
O  0.0177  0.0177  0.4823  1 W 1.97
O  0.0177  0.4823  0.0177  1 W 1.97
O  0.0177  0.4823  0.4823  1 W 1.97
O  0.4823  0.0177  0.0177  1 W 1.97
O  0.4823  0.0177  0.4823  1 W 1.97
O  0.4823  0.4823  0.0177  1 W 1.97

Values from the calculation:
Theoretical density ... 5.9 g cm⁻³
DOS at the Fermi energy ... 6.123 states/eV/cell
Symmetry ... No. 216
Final energy ... -7.1439 eV/atom